1.
Na5Cd3Cl12: optimized geometry, PBE.

Output
As for the total energy: -2.84 eV/atom. Its uncorrected formation energy is -29.2 kcal/mol of atoms.

a = 16.880 Å, b = 16.880 Å, c = 16.880 Å
α = 90.00°, β = 90.00°, γ = 90.00°
Space group Ia-3d (No. 230)
Asymmetric unit:
Na 0.000 0.000 0.000 [16 per cell]
Na 0.000 0.250 0.375 [24 per cell]
Cd 0.000 0.250 0.125 [24 per cell]
Cl 0.017 0.041 0.343 [96 per cell]

2.
NaCd3Cl: optimized geometry, PBE.

Output
The calculation puts the energy above the lowest structure with this stoichiometry at 0 meV/atom. As for the total energy: -1.07 eV/atom. Its uncorrected formation energy is 2.6 kcal/mol of atoms.

a = 5.746 Å, b = 5.746 Å, c = 5.746 Å
α = 90.00°, β = 90.00°, γ = 90.00°
Space group Pm-3m (No. 221)
Asymmetric unit:
Na 0.000 0.000 0.000 [1 per cell]
Cd 0.000 0.000 0.500 [3 per cell]
Cl 0.500 0.500 0.500 [1 per cell]

3.
NaNbCdCl2: optimized geometry, PBE.

Output
As for the total energy: -2.81 eV/atom. Its uncorrected formation energy is 8.9 kcal/mol of atoms.

a = 4.924 Å, b = 4.924 Å, c = 5.865 Å
α = 90.00°, β = 90.00°, γ = 90.00°
Space group P4/mmm (No. 123)
Asymmetric unit:
Na 0.000 0.000 0.000 [1 per cell]
Nb 0.000 0.000 0.500 [1 per cell]
Cd 0.500 0.500 0.500 [1 per cell]
Cl 0.000 0.500 0.000 [2 per cell]

4.
NaNdCdCl6: optimized geometry, PBE.

Output
As for the total energy: -3.77 eV/atom. Its uncorrected formation energy is -40.6 kcal/mol of atoms.

a = 6.9432 Å, b = 6.9432 Å, c = 12.5557 Å
α = 90.00°, β = 90.00°, γ = 120.00°
Space group P-31c (No. 163)
Asymmetric unit:
Na 0.0000 0.0000 0.0000 [2 per cell]
Nd 0.3333 0.6667 0.2500 [2 per cell]
Cd 0.3333 0.6667 0.7500 [2 per cell]
Cl 0.0092 0.3550 0.6294 [12 per cell]

5.
NaCdNiCl2: optimized geometry, PBE.

Output
As for the total energy: -2.12 eV/atom. Its uncorrected formation energy is 5.1 kcal/mol of atoms.

a = 5.022 Å, b = 5.022 Å, c = 7.666 Å
α = 90.00°, β = 90.00°, γ = 90.00°
Space group P4/mmm (No. 123)
Asymmetric unit:
Na 0.000 0.000 0.000 [1 per cell]
Cd 0.000 0.000 0.500 [1 per cell]
Ni 0.500 0.500 0.000 [1 per cell]
Cl 0.000 0.500 0.500 [2 per cell]

6.
Na3Cd2Cl3O2: optimized geometry, PBE.

Output
As for the total energy: -3.53 eV/atom. Its uncorrected formation energy is -32.4 kcal/mol of atoms.

a = 4.265 Å, b = 4.265 Å, c = 23.143 Å
α = 90.00°, β = 90.00°, γ = 90.00°
Space group I4/mmm (No. 139)
Asymmetric unit:
Na 0.000 0.000 0.000 [2 per cell]
Na 0.000 0.000 0.382 [4 per cell]
Cd 0.000 0.500 0.250 [4 per cell]
Cl 0.000 0.000 0.122 [4 per cell]
Cl 0.000 0.000 0.500 [2 per cell]
O 0.000 0.000 0.282 [4 per cell]

7.
NaCdP2Cl: optimized geometry, PBE.

Output
The calculation puts the energy above the lowest structure with this stoichiometry at 489 meV/atom. As for the total energy: -2.20 eV/atom. Its uncorrected formation energy is 18.0 kcal/mol of atoms.

a = 5.121 Å, b = 5.121 Å, c = 4.940 Å
α = 90.00°, β = 90.00°, γ = 90.00°
Space group P4/mmm (No. 123)
Asymmetric unit:
Na 0.000 0.000 0.000 [1 per cell]
Cd 0.500 0.500 0.500 [1 per cell]
P 0.000 0.500 0.000 [2 per cell]
Cl 0.000 0.000 0.500 [1 per cell]

8.
NaCdP2Cl: optimized geometry, PBE.

Output
The calculation puts the energy above the lowest structure with this stoichiometry at 0 meV/atom. As for the total energy: -2.69 eV/atom. Its uncorrected formation energy is 6.7 kcal/mol of atoms.

a = 4.978 Å, b = 4.978 Å, c = 5.832 Å
α = 90.00°, β = 90.00°, γ = 90.00°
Space group P4/mmm (No. 123)
Asymmetric unit:
Na 0.000 0.000 0.000 [1 per cell]
Cd 0.500 0.500 0.500 [1 per cell]
P 0.000 0.500 0.500 [2 per cell]
Cl 0.500 0.500 0.000 [1 per cell]

9.
Na2CdPbCl6: optimized geometry, PBE.

Output
As for the total energy: -3.22 eV/atom. Its uncorrected formation energy is -32.0 kcal/mol of atoms.

a = 7.0744 Å, b = 7.0744 Å, c = 19.0721 Å
α = 90.00°, β = 90.00°, γ = 120.00°
Space group R3 (No. 146, hexagonal axes)
Asymmetric unit:
Na 0.0000 0.0000 0.0000 [3 per cell]
Na 0.0000 0.0000 0.4954 [3 per cell]
Cd 0.0000 0.0000 0.6958 [3 per cell]
Pb 0.0000 0.0000 0.1995 [3 per cell]
Cl 0.0033 0.7084 0.6028 [9 per cell]
Cl 0.0272 0.3382 0.7637 [9 per cell]

10.
NaCd2PbCl8: optimized geometry, PBE.

Output
As for the total energy: -2.88 eV/atom. Its uncorrected formation energy is -24.8 kcal/mol of atoms.

a = 6.257 Å, b = 8.120 Å, c = 6.532 Å
α = 90.00°, β = 90.24°, γ = 90.00°
Space group P2/m (No. 10)
Asymmetric unit:
Na 0.000 0.000 0.000 [1 per cell]
Cd 0.500 0.240 0.500 [2 per cell]
Pb 0.000 0.500 0.000 [1 per cell]
Cl 0.237 0.255 0.175 [4 per cell]
Cl 0.281 0.000 0.663 [2 per cell]
Cl 0.281 0.500 0.662 [2 per cell]

11.
NaCdPdCl6: optimized geometry, PBE.

Output
As for the total energy: -2.93 eV/atom. Its uncorrected formation energy is -20.2 kcal/mol of atoms.

a = 6.343 Å, b = 6.343 Å, c = 11.477 Å
α = 90.00°, β = 90.00°, γ = 90.00°
Space group P4_2nm (No. 102)
Asymmetric unit:
Na 0.000 0.000 0.000 [2 per cell]
Cd 0.000 0.000 0.675 [2 per cell]
Pd 0.000 0.000 0.336 [2 per cell]
Cl 0.177 0.177 0.489 [4 per cell]
Cl 0.183 0.183 0.188 [4 per cell]
Cl 0.207 0.207 0.828 [4 per cell]

12.
NaPmCdCl6: optimized geometry, PBE.

Output
As for the total energy: -3.77 eV/atom. Its uncorrected formation energy is -40.7 kcal/mol of atoms.

a = 6.9143 Å, b = 6.9143 Å, c = 12.5726 Å
α = 90.00°, β = 90.00°, γ = 120.00°
Space group P-31c (No. 163)
Asymmetric unit:
Na 0.0000 0.0000 0.0000 [2 per cell]
Pm 0.3333 0.6667 0.2500 [2 per cell]
Cd 0.3333 0.6667 0.7500 [2 per cell]
Cl 0.0068 0.3546 0.6298 [12 per cell]

13.
NaPrCdCl6: optimized geometry, PBE.

Output
As for the total energy: -3.77 eV/atom. Its uncorrected formation energy is -40.5 kcal/mol of atoms.

a = 6.9728 Å, b = 6.9728 Å, c = 12.5405 Å
α = 90.00°, β = 90.00°, γ = 120.00°
Space group P-31c (No. 163)
Asymmetric unit:
Na 0.0000 0.0000 0.0000 [2 per cell]
Pr 0.3333 0.6667 0.2500 [2 per cell]
Cd 0.3333 0.6667 0.7500 [2 per cell]
Cl 0.0116 0.3555 0.6291 [12 per cell]

14.
Rb2NaCdCl5: optimized geometry, PBE.

Output
As for the total energy: -3.11 eV/atom. Its uncorrected formation energy is -37.3 kcal/mol of atoms.

a = 4.233 Å, b = 18.249 Å, c = 14.521 Å
α = 90.00°, β = 90.00°, γ = 90.00°
Space group Cmc2_1 (No. 36)
Asymmetric unit:
Rb 0.000 0.089 0.000 [4 per cell]
Rb 0.000 0.139 0.637 [4 per cell]
Na 0.000 0.447 0.790 [4 per cell]
Cd 0.000 0.222 0.365 [4 per cell]
Cl 0.000 0.079 0.397 [4 per cell]
Cl 0.000 0.268 0.989 [4 per cell]
Cl 0.000 0.299 0.746 [4 per cell]
Cl 0.000 0.362 0.333 [4 per cell]
Cl 0.000 0.499 0.123 [4 per cell]

15.
Rb4NaCd3Cl12: optimized geometry, PBE.

Output
As for the total energy: -2.93 eV/atom. Its uncorrected formation energy is -32.8 kcal/mol of atoms.

a = 10.620 Å, b = 10.620 Å, c = 10.620 Å
α = 90.00°, β = 90.00°, γ = 90.00°
Space group Im-3m (No. 229)
Asymmetric unit:
Rb 0.250 0.250 0.250 [8 per cell]
Na 0.000 0.000 0.000 [2 per cell]
Cd 0.000 0.000 0.500 [6 per cell]
Cl 0.000 0.000 0.259 [12 per cell]
Cl 0.000 0.250 0.500 [12 per cell]

16.
RbNa2Cd2Cl7: optimized geometry, PBE.

Output
As for the total energy: -2.99 eV/atom. Its uncorrected formation energy is -33.6 kcal/mol of atoms.

a = 5.442 Å, b = 21.935 Å, c = 5.442 Å
α = 90.00°, β = 90.00°, γ = 90.00°
Space group Imm2 (No. 44)
Asymmetric unit:
Rb 0.000 0.000 0.000 [2 per cell]
Na 0.000 0.250 0.500 [4 per cell]
Cd 0.000 0.382 0.001 [4 per cell]
Cl 0.000 0.118 0.500 [4 per cell]
Cl 0.000 0.264 0.001 [4 per cell]
Cl 0.000 0.382 0.501 [4 per cell]
Cl 0.000 0.500 0.002 [2 per cell]

17.
RbNaCdCl2: optimized geometry, PBE.

Output
As for the total energy: -1.89 eV/atom. Its uncorrected formation energy is -11.8 kcal/mol of atoms.

a = 6.000 Å, b = 6.000 Å, c = 6.110 Å
α = 90.00°, β = 90.00°, γ = 90.00°
Space group P4/mmm (No. 123)
Asymmetric unit:
Rb 0.000 0.000 0.000 [1 per cell]
Na 0.500 0.500 0.000 [1 per cell]
Cd 0.000 0.000 0.500 [1 per cell]
Cl 0.000 0.500 0.500 [2 per cell]

18.
Rb3NaCd2Cl9: optimized geometry, PBE.

Output
As for the total energy: -2.92 eV/atom. Its uncorrected formation energy is -32.5 kcal/mol of atoms.

a = 7.4567 Å, b = 7.4567 Å, c = 9.3354 Å
α = 90.00°, β = 90.00°, γ = 120.00°
Space group P-3m1 (No. 164)
Asymmetric unit:
Rb 0.0000 0.0000 0.0000 [1 per cell]
Rb 0.3333 0.6667 0.6611 [2 per cell]
Na 0.0000 0.0000 0.5000 [1 per cell]
Cd 0.3333 0.6667 0.1683 [2 per cell]
Cl 0.0000 0.5000 0.0000 [3 per cell]
Cl 0.1684 0.3368 0.3243 [6 per cell]